1.
Below is an optimized crystal structure of CaTbEr2, with properties calculated at the PBE-GGA level.

Computed properties:
VASP energy   -3.773 eV per atom
E_form   3.83 kcal/mol of atoms
DOS at the Fermi energy   5.40 states/eV/cell

Cell: 3.5298 3.5298 12.6183 Å, 81.96 81.96 60.00°
Positions (direct):
Tb 0.5000 0.5000 0.5000
Er 0.0911 0.0911 0.7268
Ca 0.0000 0.0000 0.0000
Er 0.9089 0.9089 0.2732

2.
Below is an optimized crystal structure of CaTb8Er4, with properties calculated at the PBE-GGA level.

Computed properties:
VASP energy   -4.201 eV per atom
E_form   4.77 kcal/mol of atoms
DOS at the Fermi energy   21.15 states/eV/cell

Cell: 11.2506 11.2506 11.2506 Å, 91.47 91.47 161.59°
Positions (direct):
Tb 0.3004 0.5666 0.8670
Er 0.7854 0.6625 0.4479
Tb 0.6289 0.0058 0.6347
Tb 0.0058 0.3711 0.3769
Tb 0.5666 0.6996 0.2662
Ca 0.0000 0.0000 0.0000
Tb 0.9942 0.6289 0.6231
Er 0.6625 0.2146 0.8771
Tb 0.3711 0.9942 0.3653
Er 0.3375 0.7854 0.1229
Tb 0.4334 0.3004 0.7338
Er 0.2146 0.3375 0.5521
Tb 0.6996 0.4334 0.1330

3.
Below is an optimized crystal structure of CaTb4Er2, with properties calculated at the PBE-GGA level.

Computed properties:
VASP energy   -4.191 eV per atom
E_form   1.02 kcal/mol of atoms
DOS at the Fermi energy   9.85 states/eV/cell

Cell: 3.5637 3.5637 20.8310 Å, 85.09 85.09 60.00°
Positions (direct):
Tb 0.1434 0.1434 0.5699
Er 0.5696 0.5696 0.2912
Ca 0.0000 0.0000 0.0000
Tb 0.8566 0.8566 0.4301
Tb 0.2814 0.2814 0.1557
Tb 0.7186 0.7186 0.8443
Er 0.4304 0.4304 0.7088